Model P:
TlHgAu2 GGA-PBE relaxed; Fermi-level density of states = 0.185 states/eV per atom
1.0
4.6764 0.0000 0.0000
0.0000 7.7042 0.0000
-1.6884 0.0000 5.7181
Tl Hg Au
2 2 4
direct
0.0425 0.2500 0.3429 Tl
0.9575 0.7500 0.6571 Tl
0.3465 0.7500 0.2931 Hg
0.6535 0.2500 0.7069 Hg
0.2201 0.0662 0.8999 Au
0.2201 0.4338 0.8999 Au
0.7799 0.5662 0.1001 Au
0.7799 0.9338 0.1001 Au

=====

Model Q:
TlHgAu2 GGA-PBE relaxed; Fermi-level density of states = 0.411 states/eV per atom
1.0
-2.3224 2.3224 4.0683
2.3224 -2.3224 4.0683
2.3224 2.3224 -4.0683
Tl Hg Au
1 1 2
direct
0.0000 0.0000 0.0000 Tl
0.5000 0.5000 0.0000 Hg
0.2500 0.7500 0.5000 Au
0.7500 0.2500 0.5000 Au

=====

Model R:
TlHgAu2 GGA-PBE relaxed; Fermi-level density of states = 0.335 states/eV per atom
1.0
3.9166 0.0000 0.0000
0.0000 4.4105 0.0000
-1.8669 0.0000 5.4063
Tl Hg Au
1 1 2
direct
0.0000 0.0000 0.0000 Tl
0.3044 0.5000 0.6031 Hg
0.5646 0.5000 0.1377 Au
0.7409 0.0000 0.4684 Au

=====

Tell me which of them is the most stable. Sure, it is model R.

=====

Model P:
TlHgAu2 GGA-PBE relaxed; Fermi-level density of states = 0.418 states/eV per atom
1.0
0.0000 3.5437 3.5437
3.5437 0.0000 3.5437
3.5437 3.5437 0.0000
Tl Hg Au
1 1 2
direct
0.0000 0.0000 0.0000 Tl
0.7500 0.7500 0.7500 Hg
0.2500 0.2500 0.2500 Au
0.5000 0.5000 0.5000 Au

=====

Model Q:
TlHgAu2 GGA-PBE relaxed; Fermi-level density of states = 0.338 states/eV per atom
1.0
4.2659 -2.0147 0.0000
4.2659 2.0147 0.0000
-1.8451 0.0000 5.7532
Tl Hg Au
1 1 2
direct
0.0000 0.0000 0.0000 Tl
0.7698 0.7698 0.3349 Hg
0.2491 0.2491 0.7405 Au
0.5144 0.5144 0.5573 Au

=====

Tell me which of them is the most stable. Sure, it is model Q.

=====

Model P:
TlHgAu2 GGA-PBE relaxed; Fermi-level density of states = 0.355 states/eV per atom
1.0
-2.2692 2.2692 4.2604
2.2692 -2.2692 4.2604
2.2692 2.2692 -4.2604
Tl Hg Au
1 1 2
direct
0.0000 0.0000 0.0000 Tl
0.7500 0.2500 0.5000 Hg
0.2500 0.7500 0.5000 Au
0.5000 0.5000 0.0000 Au

=====

Model Q:
TlHgAu2 GGA-PBE relaxed; Fermi-level density of states = 0.224 states/eV per atom
1.0
2.9949 -3.8851 0.0000
2.9949 3.8851 0.0000
-0.2198 0.0000 3.8343
Tl Hg Au
1 1 2
direct
0.0000 0.0000 0.0000 Tl
0.5000 0.5000 0.0000 Hg
0.0000 0.5000 0.5000 Au
0.5000 0.0000 0.5000 Au

=====

Model R:
TlHgAu2 GGA-PBE relaxed; Fermi-level density of states = 0.334 states/eV per atom
1.0
0.0000 3.5391 3.5391
3.5391 0.0000 3.5391
3.5391 3.5391 0.0000
Tl Hg Au
1 1 2
direct
0.0000 0.0000 0.0000 Tl
0.5000 0.5000 0.5000 Hg
0.2500 0.2500 0.2500 Au
0.7500 0.7500 0.7500 Au

=====

Model S:
TlHgAu2 GGA-PBE relaxed; Fermi-level density of states = 0.197 states/eV per atom
1.0
3.0391 0.0000 0.0000
0.0000 3.8419 0.0000
0.0000 0.0000 7.6229
Tl Hg Au
1 1 2
direct
0.0000 0.0000 0.0000 Tl
0.0000 0.0000 0.5000 Hg
0.5000 0.5000 0.2710 Au
0.5000 0.5000 0.7290 Au

=====

Tell me which of them is the most stable. Sure, it is model S.